1.
Entry from the Alexandria database: a relaxed structure of Pr2Ho9In (PBE-GGA).

The space group is P4/mmm (No. 123) and the conventional cell measures 4.957, 4.957 and 15.088 Å, with angles of 90.00, 90.00 and 90.00 degrees. The inequivalent atoms are Pr at (0.000, 0.000, 0.168), Ho at (0.000, 0.500, 0.000), Ho at (0.000, 0.500, 0.341), Ho at (0.500, 0.500, 0.174), Ho at (0.500, 0.500, 0.500) and In at (0.000, 0.000, 0.500).

The value obtained for the density of states at the Fermi level is 15.410 states/eV/f.u. The calculation puts the final energy at -4.515 eV per atom. The calculation puts the calculated formation energy at -0.7 eV per formula unit.



2.
Entry from the Alexandria database: a relaxed structure of PrHoIn2 (PBE-GGA).

The space group is Fm-3m (No. 225) and the conventional cell measures 7.652, 7.652 and 7.652 Å, with angles of 90.00, 90.00 and 90.00 degrees. The inequivalent atoms are Pr at (0.000, 0.000, 0.000), Ho at (0.000, 0.000, 0.500) and In at (0.250, 0.250, 0.250).

The value obtained for the density of states at the Fermi level is 1.938 states/eV/f.u. The calculation puts the final energy at -4.178 eV per atom. The calculation puts the calculated formation energy at -1.9 eV per formula unit.



3.
Entry from the Alexandria database: a relaxed structure of Pr4Ho3In4 (PBE-GGA).

The space group is Immm (No. 71) and the conventional cell measures 3.621, 9.494 and 19.601 Å, with angles of 90.00, 90.00 and 90.00 degrees. The inequivalent atoms are Pr at (0.000, 0.174, 0.162), Ho at (0.000, 0.000, 0.407), Ho at (0.000, 0.500, 0.500), In at (0.000, 0.281, 0.000) and In at (0.000, 0.500, 0.223).

The value obtained for the density of states at the Fermi level is 10.144 states/eV/f.u. The calculation puts the final energy at -4.297 eV per atom. The calculation puts the calculated formation energy at -3.5 eV per formula unit.



4.
Entry from the Alexandria database: a relaxed structure of Pr3Ho2In2 (PBE-GGA).

The space group is Cmmm (No. 65) and the conventional cell measures 5.000, 24.248 and 3.545 Å, with angles of 90.00, 90.00 and 90.00 degrees. The inequivalent atoms are Pr at (0.000, 0.000, 0.000), Pr at (0.000, 0.143, 0.000), Ho at (0.000, 0.287, 0.500) and In at (0.000, 0.428, 0.500).

The value obtained for the density of states at the Fermi level is 8.431 states/eV/f.u. The calculation puts the final energy at -4.301 eV per atom. The energy above the lowest structure with this stoichiometry is 0.000 eV per atom. The calculation puts the calculated formation energy at -1.1 eV per formula unit.



5.
Entry from the Alexandria database: a relaxed structure of Pr3Ho2In (PBE-GGA).

The space group is P2_1/m (No. 11) and the conventional cell measures 8.761, 3.747 and 11.807 Å, with angles of 90.00, 90.81 and 90.00 degrees. The inequivalent atoms are Pr at (0.095, 0.250, 0.103), Pr at (0.342, 0.750, 0.569), Pr at (0.393, 0.750, 0.251), Ho at (0.079, 0.250, 0.392), Ho at (0.357, 0.750, 0.930) and In at (0.164, 0.250, 0.759).

The value obtained for the density of states at the Fermi level is 8.241 states/eV/f.u. The calculation puts the final energy at -4.494 eV per atom. The energy above the lowest structure with this stoichiometry is 0.029 eV per atom. The calculation puts the calculated formation energy at -0.7 eV per formula unit.



6.
Entry from the Alexandria database: a relaxed structure of PrHo2In9 (PBE-GGA).

The space group is P4/mmm (No. 123) and the conventional cell measures 4.668, 4.668 and 13.980 Å, with angles of 90.00, 90.00 and 90.00 degrees. The inequivalent atoms are Pr at (0.000, 0.000, 0.000), Ho at (0.000, 0.000, 0.336), In at (0.000, 0.500, 0.172), In at (0.000, 0.500, 0.500), In at (0.500, 0.500, 0.000) and In at (0.500, 0.500, 0.335).

The value obtained for the density of states at the Fermi level is 4.922 states/eV/f.u. The calculation puts the final energy at -3.638 eV per atom. The calculation puts the calculated formation energy at -5.1 eV per formula unit.



7.
Entry from the Alexandria database: a relaxed structure of PrHoInPt (PBE-GGA).

The space group is F-43m (No. 216) and the conventional cell measures 7.393, 7.393 and 7.393 Å, with angles of 90.00, 90.00 and 90.00 degrees. The inequivalent atoms are Pr at (0.000, 0.000, 0.000), Ho at (0.000, 0.000, 0.500), In at (0.250, 0.250, 0.250) and Pt at (0.250, 0.250, 0.750).

The value obtained for the density of states at the Fermi level is 3.287 states/eV/f.u. The calculation puts the final energy at -5.210 eV per atom. The calculation puts the calculated formation energy at -2.7 eV per formula unit.



8.
Entry from the Alexandria database: a relaxed structure of PrHoInRh (PBE-GGA).

The space group is F-43m (No. 216) and the conventional cell measures 7.343, 7.343 and 7.343 Å, with angles of 90.00, 90.00 and 90.00 degrees. The inequivalent atoms are Pr at (0.000, 0.000, 0.000), Ho at (0.000, 0.000, 0.500), In at (0.250, 0.250, 0.250) and Rh at (0.250, 0.250, 0.750).

The value obtained for the density of states at the Fermi level is 3.601 states/eV/f.u. The calculation puts the final energy at -5.338 eV per atom. The calculation puts the calculated formation energy at -1.9 eV per formula unit.



9.
Entry from the Alexandria database: a relaxed structure of PrHoInRu (PBE-GGA).

The space group is F-43m (No. 216) and the conventional cell measures 7.294, 7.294 and 7.294 Å, with angles of 90.00, 90.00 and 90.00 degrees. The inequivalent atoms are Pr at (0.000, 0.000, 0.000), Ho at (0.000, 0.000, 0.500), In at (0.250, 0.250, 0.250) and Ru at (0.250, 0.250, 0.750).

The value obtained for the density of states at the Fermi level is 2.477 states/eV/f.u. The calculation puts the final energy at -5.588 eV per atom. The calculation puts the calculated formation energy at -1.0 eV per formula unit.



10.
Entry from the Alexandria database: a relaxed structure of Pr2HoSc2In5 (PBE-GGA).

The space group is P4/mbm (No. 127) and the conventional cell measures 10.678, 10.678 and 4.665 Å, with angles of 90.00, 90.00 and 90.00 degrees. The inequivalent atoms are Pr at (0.180, 0.320, 0.000), Ho at (0.000, 0.000, 0.000), Sc at (0.118, 0.618, 0.000), In at (0.000, 0.500, 0.500) and In at (0.062, 0.798, 0.500).

The value obtained for the density of states at the Fermi level is 8.651 states/eV/f.u. The calculation puts the final energy at -4.421 eV per atom. The calculation puts the calculated formation energy at -3.7 eV per formula unit.



11.
Entry from the Alexandria database: a relaxed structure of Pr2Sm2Ho2In (PBE-GGA).

The space group is C2/m (No. 12) and the conventional cell measures 11.861, 3.576 and 11.705 Å, with angles of 90.00, 112.97 and 90.00 degrees. The inequivalent atoms are Pr at (0.029, 0.000, 0.255), Sm at (0.174, 0.000, 0.586), Ho at (0.247, 0.000, 0.128) and In at (0.000, 0.500, 0.000).

The value obtained for the density of states at the Fermi level is 10.690 states/eV/f.u. The calculation puts the final energy at -4.440 eV per atom. The calculation puts the calculated formation energy at -0.2 eV per formula unit.



12.
Entry from the Alexandria database: a relaxed structure of PrSm2HoIn4 (PBE-GGA).

The space group is R-3m (No. 166, hexagonal axes) and the conventional cell measures 5.4075, 5.4075 and 26.5746 Å, with angles of 90.00, 90.00 and 120.00 degrees. The inequivalent atoms are Pr at (0.0000, 0.0000, 0.0000), Sm at (0.0000, 0.0000, 0.2494), Ho at (0.0000, 0.0000, 0.5000), In at (0.0000, 0.0000, 0.1266) and In at (0.0000, 0.0000, 0.3767).

The value obtained for the density of states at the Fermi level is 3.444 states/eV/f.u. The calculation puts the final energy at -4.197 eV per atom. The calculation puts the calculated formation energy at -3.8 eV per formula unit.



13.
Entry from the Alexandria database: a relaxed structure of Pr6Sm2Ho3In (PBE-GGA).

The space group is C2/m (No. 12) and the conventional cell measures 6.240, 10.837 and 11.928 Å, with angles of 90.00, 100.14 and 90.00 degrees. The inequivalent atoms are Pr at (0.242, 0.000, 0.249), Pr at (0.246, 0.163, 0.750), Sm at (0.000, 0.334, 0.500), Ho at (0.000, 0.167, 0.000), Ho at (0.000, 0.500, 0.000) and In at (0.000, 0.000, 0.500).

The value obtained for the density of states at the Fermi level is 13.571 states/eV/f.u. The calculation puts the final energy at -4.592 eV per atom. The calculation puts the calculated formation energy at -0.5 eV per formula unit.



14.
Entry from the Alexandria database: a relaxed structure of PrSmHoIn (PBE-GGA).

The space group is F-43m (No. 216) and the conventional cell measures 7.853, 7.853 and 7.853 Å, with angles of 90.00, 90.00 and 90.00 degrees. The inequivalent atoms are Pr at (0.000, 0.000, 0.000), Sm at (0.000, 0.000, 0.500), Ho at (0.250, 0.250, 0.250) and In at (0.250, 0.250, 0.750).

The value obtained for the density of states at the Fermi level is 6.999 states/eV/f.u. The calculation puts the final energy at -4.353 eV per atom. The energy above the lowest structure with this stoichiometry is 0.000 eV per atom. The calculation puts the calculated formation energy at -0.6 eV per formula unit.



15.
Entry from the Alexandria database: a relaxed structure of PrSmHoIn (PBE-GGA).

The space group is F-43m (No. 216) and the conventional cell measures 7.831, 7.831 and 7.831 Å, with angles of 90.00, 90.00 and 90.00 degrees. The inequivalent atoms are Pr at (0.000, 0.000, 0.000), Sm at (0.250, 0.250, 0.250), Ho at (0.250, 0.250, 0.750) and In at (0.000, 0.000, 0.500).

The value obtained for the density of states at the Fermi level is 5.927 states/eV/f.u. The calculation puts the final energy at -4.302 eV per atom. The energy above the lowest structure with this stoichiometry is 0.052 eV per atom. The calculation puts the calculated formation energy at -0.4 eV per formula unit.



16.
Entry from the Alexandria database: a relaxed structure of Pr2Sm6Ho3In (PBE-GGA).

The space group is C2/m (No. 12) and the conventional cell measures 6.177, 10.714 and 11.869 Å, with angles of 90.00, 100.04 and 90.00 degrees. The inequivalent atoms are Pr at (0.000, 0.166, 0.000), Sm at (0.242, 0.500, 0.747), Sm at (0.247, 0.337, 0.252), Ho at (0.000, 0.000, 0.500), Ho at (0.000, 0.333, 0.500) and In at (0.000, 0.500, 0.000).

The value obtained for the density of states at the Fermi level is 14.130 states/eV/f.u. The calculation puts the final energy at -4.583 eV per atom. The calculation puts the calculated formation energy at -0.7 eV per formula unit.



17.
Entry from the Alexandria database: a relaxed structure of PrSmHo2In4 (PBE-GGA).

The space group is R-3m (No. 166, hexagonal axes) and the conventional cell measures 5.3806, 5.3806 and 26.4145 Å, with angles of 90.00, 90.00 and 120.00 degrees. The inequivalent atoms are Pr at (0.0000, 0.0000, 0.0000), Sm at (0.0000, 0.0000, 0.5000), Ho at (0.0000, 0.0000, 0.2499), In at (0.0000, 0.0000, 0.1259) and In at (0.0000, 0.0000, 0.3759).

The value obtained for the density of states at the Fermi level is 3.774 states/eV/f.u. The calculation puts the final energy at -4.171 eV per atom. The calculation puts the calculated formation energy at -3.8 eV per formula unit.



18.
Entry from the Alexandria database: a relaxed structure of Pr6Sm3Ho2In (PBE-GGA).

The space group is C2/m (No. 12) and the conventional cell measures 6.272, 10.917 and 11.918 Å, with angles of 90.00, 100.41 and 90.00 degrees. The inequivalent atoms are Pr at (0.243, 0.163, 0.244), Pr at (0.245, 0.000, 0.754), Sm at (0.000, 0.169, 0.500), Sm at (0.000, 0.500, 0.500), Ho at (0.000, 0.334, 0.000) and In at (0.000, 0.000, 0.000).

The value obtained for the density of states at the Fermi level is 15.003 states/eV/f.u. The calculation puts the final energy at -4.590 eV per atom. The calculation puts the calculated formation energy at -0.4 eV per formula unit.



19.
Entry from the Alexandria database: a relaxed structure of Tb2Pr2Ho2In (PBE-GGA).

The space group is C2/m (No. 12) and the conventional cell measures 5.851, 5.840 and 13.282 Å, with angles of 90.00, 102.66 and 90.00 degrees. The inequivalent atoms are Tb at (0.065, 0.000, 0.127), Pr at (0.208, 0.000, 0.416), Ho at (0.135, 0.500, 0.269) and In at (0.000, 0.500, 0.000).

The value obtained for the density of states at the Fermi level is 13.125 states/eV/f.u. The calculation puts the final energy at -4.420 eV per atom. The calculation puts the calculated formation energy at -0.2 eV per formula unit.



20.
Entry from the Alexandria database: a relaxed structure of Tb3Pr6Ho2In (PBE-GGA).

The space group is C2/m (No. 12) and the conventional cell measures 6.241, 10.851 and 11.870 Å, with angles of 90.00, 100.31 and 90.00 degrees. The inequivalent atoms are Tb at (0.000, 0.000, 0.000), Tb at (0.000, 0.332, 0.000), Pr at (0.245, 0.336, 0.746), Pr at (0.245, 0.500, 0.252), Ho at (0.000, 0.166, 0.500) and In at (0.000, 0.500, 0.500).

The value obtained for the density of states at the Fermi level is 14.384 states/eV/f.u. The calculation puts the final energy at -4.569 eV per atom. The calculation puts the calculated formation energy at -0.4 eV per formula unit.



21.
Entry from the Alexandria database: a relaxed structure of Tb6Pr2Ho3In (PBE-GGA).

The space group is C2/m (No. 12) and the conventional cell measures 6.117, 10.601 and 11.766 Å, with angles of 90.00, 100.01 and 90.00 degrees. The inequivalent atoms are Tb at (0.243, 0.000, 0.248), Tb at (0.247, 0.163, 0.751), Pr at (0.000, 0.334, 0.500), Ho at (0.000, 0.167, 0.000), Ho at (0.000, 0.500, 0.000) and In at (0.000, 0.000, 0.500).

The value obtained for the density of states at the Fermi level is 15.417 states/eV/f.u. The calculation puts the final energy at -4.541 eV per atom. The calculation puts the calculated formation energy at -0.7 eV per formula unit.



22.
Entry from the Alexandria database: a relaxed structure of PrHo2In3Te6 (PBE-GGA).

The space group is C2/m (No. 12) and the conventional cell measures 7.711, 13.350 and 8.509 Å, with angles of 90.00, 107.58 and 90.00 degrees. The inequivalent atoms are Pr at (0.000, 0.000, 0.000), Ho at (0.000, 0.333, 0.000), In at (0.000, 0.164, 0.500), In at (0.000, 0.500, 0.500), Te at (0.229, 0.500, 0.219) and Te at (0.246, 0.172, 0.222).

The value obtained for the density of states at the Fermi level is 1.101 states/eV/f.u. The calculation puts the final energy at -4.387 eV per atom. For the uncorrected formation energy, the calculation gives -0.9704 eV/atom.



23.
Entry from the Alexandria database: a relaxed structure of PrHoTlIn (PBE-GGA).

The space group is F-43m (No. 216) and the conventional cell measures 7.688, 7.688 and 7.688 Å, with angles of 90.00, 90.00 and 90.00 degrees. The inequivalent atoms are Pr at (0.000, 0.000, 0.000), Ho at (0.000, 0.000, 0.500), Tl at (0.250, 0.250, 0.750) and In at (0.250, 0.250, 0.250).

The value obtained for the density of states at the Fermi level is 1.826 states/eV/f.u. The calculation puts the final energy at -4.028 eV per atom. The calculation puts the calculated formation energy at -1.6 eV per formula unit.